Record 1
This record from Alexandria describes a relaxed structure of BaGaB2Pd. The functional is PBE-GGA.

a b c (Å): 4.399 4.399 4.975
angles (deg): 90.00 90.00 90.00
Positions (direct):
Ba: 0.000 0.000 0.000
Ga: 0.500 0.500 0.500
B: 0.000 0.500 0.500
B: 0.500 0.000 0.500
Pd: 0.500 0.500 0.000

Properties
total DFT energy (no corrections): -3.936 eV per atom
energy of formation: 74 kJ/mol of atoms
magnetic moment: 0.0 μB per cell

=====

Record 2
This record from Alexandria describes a relaxed structure of Nb2Ga2Sn. The functional is PBE-GGA.

a b c (Å): 6.981 6.981 3.668
angles (deg): 90.00 90.00 90.00
Positions (direct):
Nb: 0.174 0.326 0.000
Nb: 0.326 0.826 0.000
Nb: 0.674 0.174 0.000
Nb: 0.826 0.674 0.000
Ga: 0.125 0.625 0.500
Ga: 0.375 0.125 0.500
Ga: 0.625 0.875 0.500
Ga: 0.875 0.375 0.500
Sn: 0.000 0.000 0.500
Sn: 0.500 0.500 0.500

Properties
offset from the most stable computed form: 0.33 eV/f.u.
total DFT energy (no corrections): -6.043 eV per atom
energy of formation: 0 kJ/mol of atoms
magnetic moment: 0.0 μB per cell

=====

Record 3
This record from Alexandria describes a relaxed structure of Tc3PI. The functional is PBE-GGA.

a b c (Å): 4.823 4.823 4.823
angles (deg): 90.00 90.00 90.00
Positions (direct):
Tc: 0.000 0.000 0.500
Tc: 0.000 0.500 0.000
Tc: 0.500 0.000 0.000
P: 0.500 0.500 0.500
I: 0.000 0.000 0.000

Properties
offset from the most stable computed form: 7.40 eV/f.u.
total DFT energy (no corrections): -5.291 eV per atom
magnetic moment: 2.8 μB per cell
E_form (uncorrected): 2.320 eV/atom

=====

Record 4
This record from Alexandria describes a relaxed structure of Na2ClF. The functional is PBE-GGA.

a b c (Å): 6.452 6.452 6.452
angles (deg): 90.00 90.00 90.00
Positions (direct):
Na: 0.250 0.250 0.250
Na: 0.250 0.250 0.750
Na: 0.250 0.750 0.250
Na: 0.250 0.750 0.750
Na: 0.750 0.250 0.250
Na: 0.750 0.250 0.750
Na: 0.750 0.750 0.250
Na: 0.750 0.750 0.750
Cl: 0.000 0.000 0.000
Cl: 0.000 0.500 0.500
Cl: 0.500 0.000 0.500
Cl: 0.500 0.500 0.000
F: 0.000 0.000 0.500
F: 0.000 0.500 0.000
F: 0.500 0.000 0.000
F: 0.500 0.500 0.500

Properties
offset from the most stable computed form: 0.79 eV/f.u.
total DFT energy (no corrections): -3.613 eV per atom
magnetic moment: 0.0 μB per cell
E_form (uncorrected): -2.024 eV/atom

=====

Record 5
This record from Alexandria describes a relaxed structure of MnAgPIrBr. The functional is PBE-GGA.

a b c (Å): 6.554 3.549 8.010
angles (deg): 90.00 95.13 90.00
Positions (direct):
Mn: 0.000 0.000 0.000
Mn: 0.500 0.500 0.000
Ag: 0.156 0.500 0.768
Ag: 0.656 0.000 0.768
P: 0.174 0.500 0.126
P: 0.674 0.000 0.126
Ir: 0.360 0.000 0.238
Ir: 0.860 0.500 0.238
Br: 0.433 0.500 0.510
Br: 0.933 0.000 0.510

Properties
offset from the most stable computed form: 0.50 eV/f.u.
total DFT energy (no corrections): -5.565 eV per atom
magnetic moment: 5.6 μB per cell
E_form (uncorrected): 0.028 eV/atom

=====

Record 6
This record from Alexandria describes a relaxed structure of CuGeTe3. The functional is PBE-GGA.

a b c (Å): 5.359 5.359 5.359
angles (deg): 90.00 90.00 90.00
Positions (direct):
Cu: 0.000 0.000 0.000
Ge: 0.500 0.500 0.500
Te: 0.000 0.500 0.500
Te: 0.500 0.000 0.500
Te: 0.500 0.500 0.000

Properties
offset from the most stable computed form: 3.86 eV/f.u.
total DFT energy (no corrections): -2.842 eV per atom
magnetic moment: 0.0 μB per cell
E_form (uncorrected): 0.785 eV/atom